YVPO2 | PBE+U | relaxed

```
5
Lattice="-3.891 -1.421 0.675 0.895 -3.479 -2.169 1.780 -2.569 4.854" Properties=species:S:1:pos:R:3 pbc="T T T"
P 0.890 -1.284 2.427
O -1.945 -0.711 0.337
O 0.447 -1.740 -1.085
V -0.608 -3.735 1.680
Y 0.000 0.000 0.000
```

Excess energy over the best structure of this formula in the dataset (kJ/mol of atoms): 85.33